A plane-wave DFT calculation with PBE was carried out for a relaxed structure of LiCa2TlC.

For the density of states at the Fermi level, the calculation gives 0.439 states/eV per atom. Its crystal system is tetragonal. The calculation puts the density at 4.43 g/cm³. Its energy of formation from the pure elements is 0.550 eV/atom. As for the space-group type: No. 123.

abc: 5.495 3.769 5.495
angles: 90.00 90.00 90.00
Atoms (fractional coordinates):
C: 0.000 0.500 0.000
Tl: 0.500 0.500 0.500
Ca: 0.000 0.000 0.500
Ca: 0.500 0.000 0.000
Li: 0.000 0.000 0.000

---

A plane-wave DFT calculation with PBE was carried out for a relaxed structure of CaLu2C.

For the density of states at the Fermi level, the calculation gives 0.788 states/eV per atom. Its crystal system is trigonal. The calculation puts the density at 6.57 g/cm³. Its energy of formation from the pure elements is -0.154 eV/atom. As for the space-group type: No. 166.

abc: 3.520 3.520 9.679
angles: 79.52 79.52 60.00
Atoms (fractional coordinates):
Ca: 0.000 0.000 0.000
Lu: 0.121 0.121 0.637
Lu: 0.879 0.879 0.363
C: 0.500 0.500 0.500

---

A plane-wave DFT calculation with PBE was carried out for a relaxed structure of CaMg14C.

For the density of states at the Fermi level, the calculation gives 0.485 states/eV per atom. Its crystal system is orthorhombic. The calculation puts the density at 1.77 g/cm³. The energy above the lowest structure with this stoichiometry is 0.00 eV/f.u. Its energy of formation from the pure elements is 0.193 eV/atom. As for the space-group type: No. 38.

abc: 6.420 6.420 10.676
angles: 90.00 90.00 123.41
Atoms (fractional coordinates):
Ca: 0.798 0.202 0.500
Mg: 0.831 0.169 0.000
Mg: 0.324 0.676 0.000
Mg: 0.304 0.245 0.500
Mg: 0.328 0.165 0.000
Mg: 0.755 0.696 0.500
Mg: 0.835 0.672 0.000
Mg: 0.170 0.321 0.241
Mg: 0.170 0.321 0.759
Mg: 0.679 0.830 0.241
Mg: 0.679 0.830 0.759
Mg: 0.666 0.334 0.239
Mg: 0.666 0.334 0.761
Mg: 0.215 0.785 0.355
Mg: 0.215 0.785 0.645
C: 0.368 0.632 0.500

---

A plane-wave DFT calculation with PBE was carried out for a relaxed structure of CaMg14C.

For the density of states at the Fermi level, the calculation gives 0.576 states/eV per atom. Its crystal system is hexagonal. The calculation puts the density at 1.81 g/cm³. The energy above the lowest structure with this stoichiometry is 1.36 eV/f.u. Its energy of formation from the pure elements is 0.278 eV/atom. As for the space-group type: No. 187.

abc: 6.438 6.438 10.015
angles: 90.00 90.00 120.00
Atoms (fractional coordinates):
Ca: 0.000 0.000 0.000
Mg: 0.013 0.507 0.000
Mg: 0.983 0.491 0.500
Mg: 0.493 0.987 0.000
Mg: 0.509 0.017 0.500
Mg: 0.493 0.507 0.000
Mg: 0.509 0.491 0.500
Mg: 0.157 0.843 0.281
Mg: 0.157 0.843 0.719
Mg: 0.157 0.314 0.281
Mg: 0.157 0.314 0.719
Mg: 0.686 0.843 0.281
Mg: 0.686 0.843 0.719
Mg: 0.667 0.333 0.241
Mg: 0.667 0.333 0.759
C: 0.000 0.000 0.500

---

A plane-wave DFT calculation with PBE was carried out for a relaxed structure of Ca3MgC.

For the density of states at the Fermi level, the calculation gives 0.765 states/eV per atom. Its crystal system is cubic. The calculation puts the density at 1.88 g/cm³. The energy above the lowest structure with this stoichiometry is 0.00 eV/f.u. Its energy of formation from the pure elements is 0.181 eV/atom. As for the space-group type: No. 221.

abc: 5.170 5.170 5.170
angles: 90.00 90.00 90.00
Atoms (fractional coordinates):
C: 0.000 0.000 0.000
Ca: 0.000 0.500 0.000
Ca: 0.000 0.000 0.500
Ca: 0.500 0.000 0.000
Mg: 0.500 0.500 0.500

---

A plane-wave DFT calculation with PBE was carried out for a relaxed structure of Ca2MgMnC.

For the density of states at the Fermi level, the calculation gives 0.787 states/eV per atom. Its crystal system is tetragonal. The calculation puts the density at 2.65 g/cm³. The energy above the lowest structure with this stoichiometry is 0.00 eV/f.u. Its energy of formation from the pure elements is 0.100 eV/atom. As for the space-group type: No. 123.

abc: 5.282 5.282 3.854
angles: 90.00 90.00 90.00
Last column: magnetic moment on the atom in μB.
Atoms (fractional coordinates):
C: 0.000 0.000 0.000  -0.20
Ca: 0.000 0.500 0.000  -0.04
Ca: 0.500 0.000 0.000  -0.04
Mn: 0.000 0.000 0.500  2.83
Mg: 0.500 0.500 0.500  -0.03

---

A plane-wave DFT calculation with PBE was carried out for a relaxed structure of Ca2MgMnC.

For the density of states at the Fermi level, the calculation gives 1.009 states/eV per atom. Its crystal system is tetragonal. The calculation puts the density at 2.10 g/cm³. The energy above the lowest structure with this stoichiometry is 5.25 eV/f.u. Its energy of formation from the pure elements is 1.150 eV/atom. As for the space-group type: No. 123.

abc: 5.884 5.884 3.922
angles: 90.00 90.00 90.00
Last column: magnetic moment on the atom in μB.
Atoms (fractional coordinates):
C: 0.000 0.000 0.500  0.03
Ca: 0.000 0.500 0.000  -0.04
Ca: 0.500 0.000 0.000  -0.04
Mn: 0.500 0.500 0.500  4.16
Mg: 0.000 0.000 0.000  0.00

---

A plane-wave DFT calculation with PBE was carried out for a relaxed structure of Ca3MgC2N6.

For the density of states at the Fermi level, the calculation gives 0.395 states/eV per atom. Its crystal system is trigonal. The calculation puts the density at 2.77 g/cm³. As for the formation energy from raw total energies: -0.5712 eV per atom. As for the space-group type: No. 164.

abc: 5.324 5.324 6.178
angles: 90.00 90.00 120.00
Atoms (fractional coordinates):
Ca: 0.333 0.667 0.672
Ca: 0.667 0.333 0.328
Ca: 0.000 0.000 0.000
Mg: 0.000 0.000 0.500
C: 0.667 0.333 0.732
C: 0.333 0.667 0.268
N: 0.626 0.813 0.278
N: 0.187 0.374 0.278
N: 0.187 0.813 0.278
N: 0.813 0.626 0.722
N: 0.374 0.187 0.722
N: 0.813 0.187 0.722

---

A plane-wave DFT calculation with PBE was carried out for a relaxed structure of Ca2MgNiC.

For the density of states at the Fermi level, the calculation gives 0.469 states/eV per atom. Its crystal system is tetragonal. The calculation puts the density at 2.87 g/cm³. Its energy of formation from the pure elements is 0.008 eV/atom. As for the space-group type: No. 123.

abc: 5.245 5.245 3.683
angles: 90.00 90.00 90.00
Atoms (fractional coordinates):
C: 0.000 0.000 0.000
Ni: 0.000 0.000 0.500
Ca: 0.000 0.500 0.000
Ca: 0.500 0.000 0.000
Mg: 0.500 0.500 0.500

---

A plane-wave DFT calculation with PBE was carried out for a relaxed structure of CaMg3C4O12.

For the density of states at the Fermi level, the calculation gives 0.000 states/eV per atom. Its crystal system is trigonal. The calculation puts the density at 2.78 g/cm³. As for the formation energy from raw total energies: -2.0867 eV per atom. As for the space-group type: No. 155.

abc: 6.143 6.143 6.143
angles: 102.96 102.96 102.96
Atoms (fractional coordinates):
C: 0.500 0.500 0.500
C: 0.500 0.956 0.044
C: 0.044 0.500 0.956
C: 0.956 0.044 0.500
Ca: 0.000 0.000 0.000
Mg: 0.000 0.543 0.457
Mg: 0.457 0.000 0.543
Mg: 0.543 0.457 0.000
O: 0.500 0.365 0.635
O: 0.635 0.500 0.365
O: 0.365 0.635 0.500
O: 0.500 0.092 0.908
O: 0.908 0.500 0.092
O: 0.092 0.908 0.500
O: 0.975 0.192 0.381
O: 0.381 0.975 0.192
O: 0.192 0.381 0.975
O: 0.619 0.808 0.025
O: 0.808 0.025 0.619
O: 0.025 0.619 0.808

---

A plane-wave DFT calculation with PBE was carried out for a relaxed structure of CaMg5P3CO16.

Its crystal system is triclinic. The calculation puts the density at 2.88 g/cm³. As for the formation energy from raw total energies: -2.4573 eV per atom. As for the space-group type: No. 2.

abc: 6.394 8.850 10.923
angles: 95.15 100.51 93.50
Last column: magnetic moment on the atom in μB.
Atoms (fractional coordinates):
Ca: 0.877 0.682 0.936  0.00
Ca: 0.123 0.318 0.064  0.00
Mg: 0.313 0.036 0.901  0.00
Mg: 0.687 0.964 0.099  0.00
Mg: 0.654 0.471 0.382  0.00
Mg: 0.346 0.529 0.618  0.00
Mg: 0.086 0.821 0.670  0.00
Mg: 0.914 0.179 0.330  0.00
Mg: 0.589 0.350 0.820  0.00
Mg: 0.411 0.650 0.180  0.00
Mg: 0.680 0.126 0.555  0.00
Mg: 0.320 0.874 0.445  0.00
P: 0.197 0.967 0.167  0.00
P: 0.803 0.033 0.833  0.00
P: 0.780 0.842 0.390  0.00
P: 0.220 0.158 0.610  0.00
P: 0.370 0.670 0.923  0.00
P: 0.630 0.330 0.077  0.00
C: 0.848 0.522 0.663  0.00
C: 0.152 0.478 0.337  0.00
O: 0.365 0.001 0.086  0.00
O: 0.635 0.999 0.914  0.00
O: 0.987 0.888 0.085  0.01
O: 0.013 0.112 0.915  0.01
O: 0.154 0.120 0.235  0.01
O: 0.846 0.880 0.765  0.01
O: 0.293 0.850 0.258  0.01
O: 0.707 0.150 0.742  0.01
O: 0.007 0.827 0.465  0.04
O: 0.993 0.173 0.535  0.04
O: 0.647 0.906 0.484  0.02
O: 0.353 0.094 0.516  0.02
O: 0.787 0.953 0.289  0.01
O: 0.213 0.047 0.711  0.01
O: 0.670 0.685 0.327  0.00
O: 0.330 0.315 0.673  0.00
O: 0.561 0.733 0.033  0.00
O: 0.439 0.267 0.967  0.00
O: 0.244 0.795 0.860  0.00
O: 0.756 0.205 0.140  0.00
O: 0.466 0.572 0.825  0.00
O: 0.534 0.428 0.175  0.00
O: 0.219 0.580 0.993  0.00
O: 0.781 0.420 0.007  0.00
O: 0.660 0.249 0.407  0.68
O: 0.340 0.751 0.593  0.68
O: 0.841 0.478 0.772  0.02
O: 0.159 0.522 0.228  0.02
O: 0.026 0.582 0.641  0.04
O: 0.974 0.418 0.359  0.04
O: 0.676 0.509 0.578  0.03
O: 0.324 0.491 0.422  0.03

---

A plane-wave DFT calculation with PBE was carried out for a relaxed structure of Ca2MgOsC.

For the density of states at the Fermi level, the calculation gives 0.478 states/eV per atom. Its crystal system is tetragonal. The calculation puts the density at 4.88 g/cm³. Its energy of formation from the pure elements is 0.025 eV/atom. As for the space-group type: No. 123.

abc: 5.145 5.145 3.940
angles: 90.00 90.00 90.00
Atoms (fractional coordinates):
C: 0.000 0.000 0.000
Ca: 0.000 0.500 0.000
Ca: 0.500 0.000 0.000
Os: 0.000 0.000 0.500
Mg: 0.500 0.500 0.500